Record 1
The following is a DFT calculation (GGA-PBE) of a relaxed Pr2Dy3TmAs6 crystal.

Geometry as POSCAR:
```
Pr2Dy3TmAs6
1.0
4.177 0.000 0.000
0.000 8.343 0.298
-2.089 -2.404 8.774
As Dy Pr Tm
6 3 2 1
Cartesian
2.089 4.132 3.057 As
2.089 -0.340 8.789 As
0.000 6.280 0.283 As
2.089 -0.173 2.922 As
0.000 1.808 6.015 As
0.000 6.113 6.150 As
2.089 4.172 0.149 Dy
0.000 6.156 3.186 Dy
2.089 -0.217 5.886 Dy
2.089 3.969 6.073 Pr
0.000 1.971 2.999 Pr
2.089 0.000 0.000 Tm
```

- uncorrected energy (eV per atom) = -6.15
- symmetry = C2/m (12)
- crystal system = monoclinic
- magnetic moment (μB per atom) = 0.000
- ΔH_f (0 K) (meV/atom) = -1504
- N(E_F) (states/eV per cell) = 1.76

***

Record 2
The following is a DFT calculation (GGA-PBE) of a relaxed Zr2SiOs crystal.

Geometry as POSCAR:
```
Zr2SiOs
1.0
7.287 0.000 0.000
0.000 7.287 0.000
3.643 3.643 2.936
Si Zr Os
2 4 2
Cartesian
3.643 3.643 0.000 Si
3.643 7.287 1.468 Si
5.560 1.822 0.734 Zr
5.465 5.370 2.202 Zr
1.726 5.465 0.734 Zr
9.108 9.204 2.202 Zr
0.000 0.000 0.000 Os
7.287 3.643 1.468 Os
```

- uncorrected energy (eV per atom) = -8.33
- symmetry = I-42d (122)
- formation energy without anion corrections (kJ/mol of formula units) = 42
- crystal system = tetragonal
- magnetic moment (μB per atom) = 0.000
- N(E_F) (states/eV per cell) = 7.86

***

Record 3
The following is a DFT calculation (GGA-PBE) of a relaxed K12Cu3H5 crystal.

Geometry as POSCAR:
```
K12Cu3H5
1.0
-14.231 -6.398 1.000
9.271 -6.168 10.976
-1.068 15.448 2.159
K Cu H
48 12 20
Cartesian
-3.453 -6.337 11.549 K
-7.312 -2.213 6.844 K
-5.686 -2.702 3.026 K
-5.771 -2.730 11.022 K
-3.562 0.423 4.360 K
2.389 -0.476 9.963 K
-6.337 1.365 11.631 K
-0.583 -5.705 8.165 K
-1.203 8.176 6.667 K
-2.688 13.318 3.388 K
1.283 5.096 7.291 K
-9.352 7.138 6.286 K
-0.209 0.652 12.792 K
-4.287 6.514 9.194 K
-5.446 8.587 5.971 K
-3.340 -10.436 10.748 K
-12.821 3.128 3.363 K
-0.257 5.613 3.113 K
0.309 1.518 2.504 K
-10.724 -3.999 5.753 K
-8.899 -4.906 2.105 K
-0.562 -2.945 11.069 K
-2.466 2.460 9.776 K
-0.342 5.585 11.109 K
-4.826 -5.293 7.468 K
-0.121 0.910 6.925 K
-8.532 -7.159 7.953 K
2.504 10.042 6.182 K
-2.818 4.087 5.790 K
2.843 3.863 12.818 K
-1.741 -3.632 4.942 K
-12.996 7.290 3.679 K
-8.418 3.358 4.172 K
-3.210 -1.205 8.345 K
-2.575 9.219 2.586 K
3.324 -4.256 7.850 K
-5.466 5.827 3.066 K
6.792 -0.245 10.773 K
-10.242 -0.070 5.158 K
2.871 7.788 12.030 K
-8.871 -0.981 1.317 K
-5.819 2.231 1.343 K
-5.907 1.973 7.211 K
6.968 -4.408 10.456 K
2.028 -1.829 4.941 K
4.214 2.953 8.978 K
-8.056 4.711 9.194 K
4.696 6.882 8.382 K
-2.799 3.423 2.432 Cu
1.302 8.063 8.999 Cu
5.532 5.390 11.348 Cu
-0.396 11.176 4.758 Cu
0.949 2.630 9.956 Cu
-7.330 -5.181 5.136 Cu
-11.560 -2.507 2.787 Cu
-6.977 0.252 4.179 Cu
-6.219 5.275 6.360 Cu
0.191 -2.392 7.775 Cu
-3.229 -0.540 11.704 Cu
-5.633 -8.293 9.377 Cu
-4.979 8.416 3.366 H
4.774 0.368 9.167 H
-3.014 1.441 7.068 H
4.635 -3.084 5.488 H
4.421 -5.065 10.124 H
-10.449 7.948 4.011 H
-7.115 -3.199 0.500 H
-3.152 -2.010 3.389 H
1.431 0.749 4.781 H
-7.649 4.525 1.580 H
4.101 4.640 6.567 H
-0.749 5.743 5.715 H
-0.534 7.724 1.079 H
-1.050 -5.534 10.769 H
-7.459 2.133 9.355 H
-2.480 -6.283 5.988 H
-5.280 -2.860 8.420 H
0.000 0.000 0.000 H
-10.802 2.515 4.969 H
-2.876 4.893 10.746 H
```

- uncorrected energy (eV per atom) = -1.97
- symmetry = Ia-3d (230)
- crystal system = cubic
- magnetic moment (μB per atom) = 0.144
- N(E_F) (states/eV per cell) = 41.58

***

Record 4
The following is a DFT calculation (GGA-PBE) of a relaxed K2LiCl crystal.

Geometry as POSCAR:
```
K2LiCl
1.0
10.402 0.122 0.006
9.632 3.930 0.006
0.862 0.174 4.166
Li K Cl
1 2 1
Cartesian
11.539 2.334 1.862 Li
18.510 3.744 0.345 K
15.241 3.083 3.220 K
6.088 1.231 0.852 Cl
```

- uncorrected energy (eV per atom) = -2.28
- symmetry = Cm (8)
- formation energy without anion corrections (kJ/mol of formula units) = -304
- crystal system = monoclinic
- magnetic moment (μB per atom) = 0.000
- N(E_F) (states/eV per cell) = 1.82

***

Record 5
The following is a DFT calculation (GGA-PBE) of a relaxed CrPdRh crystal.

Geometry as POSCAR:
```
CrPdRh
1.0
-0.751 -2.098 -1.521
2.467 -0.093 -1.089
0.811 -2.463 5.390
Pd Cr Rh
1 1 1
Cartesian
0.026 -0.056 0.064 Pd
1.432 -2.321 0.101 Cr
1.068 -2.278 2.614 Rh
```

- uncorrected energy (eV per atom) = -7.43
- symmetry = I4mm (107)
- crystal system = tetragonal
- magnetic moment (μB per atom) = 0.211
- ΔH_f (0 K) (meV/atom) = -38
- N(E_F) (states/eV per cell) = 2.30

***

Record 6
The following is a DFT calculation (GGA-PBE) of a relaxed Be2Ni4W crystal.

Geometry as POSCAR:
```
Be2Ni4W
1.0
-0.874 1.592 -4.036
-3.851 -2.180 -0.026
-4.865 4.101 0.245
Be Ni W
2 4 1
Cartesian
-6.765 2.996 -2.206 Be
-2.825 0.517 -1.611 Be
-5.780 1.264 -3.103 Ni
-0.437 0.796 -2.018 Ni
-3.810 2.249 -0.714 Ni
-1.926 -1.090 -0.013 Ni
0.000 0.000 0.000 W
```

- uncorrected energy (eV per atom) = -5.05
- symmetry = I4/mmm (139)
- crystal system = tetragonal
- magnetic moment (μB per atom) = 0.000
- ΔH_f (0 K) (meV/atom) = 1167
- N(E_F) (states/eV per cell) = 7.30

***

- Which of these has the lowest uncorrected energy?
  Zr2SiOs

***

Please write out number 3 again, unchanged.
The following is a DFT calculation (GGA-PBE) of a relaxed K12Cu3H5 crystal.

Geometry as POSCAR:
```
K12Cu3H5
1.0
-14.231 -6.398 1.000
9.271 -6.168 10.976
-1.068 15.448 2.159
K Cu H
48 12 20
Cartesian
-3.453 -6.337 11.549 K
-7.312 -2.213 6.844 K
-5.686 -2.702 3.026 K
-5.771 -2.730 11.022 K
-3.562 0.423 4.360 K
2.389 -0.476 9.963 K
-6.337 1.365 11.631 K
-0.583 -5.705 8.165 K
-1.203 8.176 6.667 K
-2.688 13.318 3.388 K
1.283 5.096 7.291 K
-9.352 7.138 6.286 K
-0.209 0.652 12.792 K
-4.287 6.514 9.194 K
-5.446 8.587 5.971 K
-3.340 -10.436 10.748 K
-12.821 3.128 3.363 K
-0.257 5.613 3.113 K
0.309 1.518 2.504 K
-10.724 -3.999 5.753 K
-8.899 -4.906 2.105 K
-0.562 -2.945 11.069 K
-2.466 2.460 9.776 K
-0.342 5.585 11.109 K
-4.826 -5.293 7.468 K
-0.121 0.910 6.925 K
-8.532 -7.159 7.953 K
2.504 10.042 6.182 K
-2.818 4.087 5.790 K
2.843 3.863 12.818 K
-1.741 -3.632 4.942 K
-12.996 7.290 3.679 K
-8.418 3.358 4.172 K
-3.210 -1.205 8.345 K
-2.575 9.219 2.586 K
3.324 -4.256 7.850 K
-5.466 5.827 3.066 K
6.792 -0.245 10.773 K
-10.242 -0.070 5.158 K
2.871 7.788 12.030 K
-8.871 -0.981 1.317 K
-5.819 2.231 1.343 K
-5.907 1.973 7.211 K
6.968 -4.408 10.456 K
2.028 -1.829 4.941 K
4.214 2.953 8.978 K
-8.056 4.711 9.194 K
4.696 6.882 8.382 K
-2.799 3.423 2.432 Cu
1.302 8.063 8.999 Cu
5.532 5.390 11.348 Cu
-0.396 11.176 4.758 Cu
0.949 2.630 9.956 Cu
-7.330 -5.181 5.136 Cu
-11.560 -2.507 2.787 Cu
-6.977 0.252 4.179 Cu
-6.219 5.275 6.360 Cu
0.191 -2.392 7.775 Cu
-3.229 -0.540 11.704 Cu
-5.633 -8.293 9.377 Cu
-4.979 8.416 3.366 H
4.774 0.368 9.167 H
-3.014 1.441 7.068 H
4.635 -3.084 5.488 H
4.421 -5.065 10.124 H
-10.449 7.948 4.011 H
-7.115 -3.199 0.500 H
-3.152 -2.010 3.389 H
1.431 0.749 4.781 H
-7.649 4.525 1.580 H
4.101 4.640 6.567 H
-0.749 5.743 5.715 H
-0.534 7.724 1.079 H
-1.050 -5.534 10.769 H
-7.459 2.133 9.355 H
-2.480 -6.283 5.988 H
-5.280 -2.860 8.420 H
0.000 0.000 0.000 H
-10.802 2.515 4.969 H
-2.876 4.893 10.746 H
```

- uncorrected energy (eV per atom) = -1.97
- symmetry = Ia-3d (230)
- crystal system = cubic
- magnetic moment (μB per atom) = 0.144
- N(E_F) (states/eV per cell) = 41.58

***

- Which value of N(E_F) does entry 1 give?
  1.76 states/eV per cell

***

Copy entry 6 word for word.
The following is a DFT calculation (GGA-PBE) of a relaxed Be2Ni4W crystal.

Geometry as POSCAR:
```
Be2Ni4W
1.0
-0.874 1.592 -4.036
-3.851 -2.180 -0.026
-4.865 4.101 0.245
Be Ni W
2 4 1
Cartesian
-6.765 2.996 -2.206 Be
-2.825 0.517 -1.611 Be
-5.780 1.264 -3.103 Ni
-0.437 0.796 -2.018 Ni
-3.810 2.249 -0.714 Ni
-1.926 -1.090 -0.013 Ni
0.000 0.000 0.000 W
```

- uncorrected energy (eV per atom) = -5.05
- symmetry = I4/mmm (139)
- crystal system = tetragonal
- magnetic moment (μB per atom) = 0.000
- ΔH_f (0 K) (meV/atom) = 1167
- N(E_F) (states/eV per cell) = 7.30